Record 1
This record from the Alexandria database describes a relaxed Pr4HgRuBr2 crystal. The functional is PBE-GGA.

The structure belongs to space group P2/m (No. 10); the cell edges are 7.803, 4.119 and 8.447 Å and the angles 90.00°, 110.10° and 90.00°. The distinct sites, in fractional coordinates, are Pr at (0.206, 0.000, 0.296), Pr at (0.235, 0.500, 0.699), Hg at (0.500, 0.500, 0.500), Ru at (0.000, 0.000, 0.500), Br at (0.000, 0.500, 0.000) and Br at (0.500, 0.000, 0.000).

The value obtained for the magnetic moment is 0.0 Bohr magnetons per cell. The volume comes out at 254.98 Å³/cell. For the raw formation energy, the calculation gives -77.1 kJ/mol of atoms. Its density of states at the Fermi level is 0.5454 states/eV per atom. As for the crystal system: monoclinic.


Record 2
This record from the Alexandria database describes a relaxed Nd2Sm4Dy crystal. The functional is PBE-GGA.

The structure belongs to space group R-3m (No. 166, hexagonal axes); the cell edges are 3.6299, 3.6299 and 62.1707 Å and the angles 90.00°, 90.00° and 120.00°. The distinct sites, in fractional coordinates, are Nd at (0.0000, 0.0000, 0.0718), Sm at (0.0000, 0.0000, 0.2133), Sm at (0.0000, 0.0000, 0.3570) and Dy at (0.0000, 0.0000, 0.5000).

The value obtained for the magnetic moment is 0.0 Bohr magnetons per cell. The volume comes out at 709.40 Å³/cell. The formation enthalpy at 0 K comes out at 12 meV/atom. Its density of states at the Fermi level is 1.2706 states/eV per atom. As for the crystal system: trigonal.


Record 3
This record from the Alexandria database describes a relaxed CaIn4Hg15 crystal. The functional is PBE-GGA.

The structure belongs to space group P4/mmm (No. 123); the cell edges are 5.049, 5.049 and 20.605 Å and the angles 90.00°, 90.00° and 90.00°. The distinct sites, in fractional coordinates, are Ca at (0.000, 0.000, 0.000), In at (0.000, 0.000, 0.201), In at (0.000, 0.000, 0.398), Hg at (0.000, 0.500, 0.101), Hg at (0.000, 0.500, 0.299), Hg at (0.000, 0.500, 0.500), Hg at (0.500, 0.500, 0.000), Hg at (0.500, 0.500, 0.198) and Hg at (0.500, 0.500, 0.399).

The value obtained for the magnetic moment is 0.0 Bohr magnetons per cell. The volume comes out at 525.19 Å³/cell. The formation enthalpy at 0 K comes out at -78 meV/atom. Its density of states at the Fermi level is 0.2698 states/eV per atom. As for the crystal system: tetragonal.